[1]
DFT (PBE-GGA) results for CrCoTc3 after structural relaxation.

## Properties
Energy relative to the lowest polymorph listed for this composition, meV/atom: 0
ΔE_f, eV per formula unit: 7.32

Cell: 4.3483 4.3483 4.3483 Å, 90.00 90.00 90.00°
Sites, in units of the cell vectors:
Cr1 0.0000 0.0000 0.0000
Co1 0.5000 0.5000 0.5000
Tc1 0.0000 0.0000 0.5000
Tc2 0.0000 0.5000 0.0000
Tc3 0.5000 0.0000 0.0000

---

[2]
DFT (PBE-GGA) results for CrCoTc after structural relaxation.

## Properties
Energy relative to the lowest polymorph listed for this composition, meV/atom: 58
ΔE_f, eV per formula unit: 0.42

Cell: 4.1427 4.1427 2.5299 Å, 90.00 90.00 120.00°
Sites, in units of the cell vectors:
Cr1 0.0000 0.0000 0.0000
Co1 0.3333 0.6667 0.6922
Tc1 0.6667 0.3333 0.2751

---

[3]
DFT (PBE-GGA) results for CrCo2Tc after structural relaxation.

## Properties
Energy relative to the lowest polymorph listed for this composition, meV/atom: 40
ΔE_f, eV per formula unit: 0.14

Cell: 3.5727 3.5727 3.6668 Å, 90.00 90.00 90.00°
Sites, in units of the cell vectors:
Cr1 0.0000 0.0000 0.0000
Co1 0.0000 0.5000 0.5000
Co2 0.5000 0.0000 0.5000
Tc1 0.5000 0.5000 0.0000

---

[4]
DFT (PBE-GGA) results for CrCo2Tc after structural relaxation.

## Properties
Energy relative to the lowest polymorph listed for this composition, meV/atom: 206
ΔE_f, eV per formula unit: 0.80

Cell: 4.0708 4.0708 4.0708 Å, 60.00 60.00 60.00°
Sites, in units of the cell vectors:
Cr1 0.0000 0.0000 0.0000
Co1 0.2500 0.2500 0.2500
Co2 0.5000 0.5000 0.5000
Tc1 0.7500 0.7500 0.7500

---

[5]
DFT (PBE-GGA) results for CrCo2Tc after structural relaxation.

## Properties
Energy relative to the lowest polymorph listed for this composition, meV/atom: 0
ΔE_f, eV per formula unit: -0.02

Cell: 2.5525 4.0874 4.4700 Å, 90.00 90.00 90.00°
Sites, in units of the cell vectors:
Cr1 0.0000 0.0000 0.0000
Co1 0.5000 0.0000 0.4843
Co2 0.5000 0.5000 0.1572
Tc1 0.0000 0.5000 0.6546

---

[6]
DFT (PBE-GGA) results for CrCo2Tc after structural relaxation.

## Properties
Energy relative to the lowest polymorph listed for this composition, meV/atom: 94
ΔE_f, eV per formula unit: 0.35

Cell: 4.3805 4.3805 4.3805 Å, 130.80 130.80 72.14°
Sites, in units of the cell vectors:
Cr1 0.0000 0.0000 0.0000
Co1 0.5000 0.5000 0.0000
Co2 0.7500 0.2500 0.5000
Tc1 0.2500 0.7500 0.5000

---

[7]
DFT (PBE-GGA) results for TiCr2CoTc after structural relaxation.

## Properties
ΔE_f, eV per formula unit: 4.95

Cell: 4.1546 4.1546 4.5496 Å, 90.00 90.00 90.00°
Sites, in units of the cell vectors:
Ti1 0.0000 0.0000 0.0000
Cr1 0.0000 0.5000 0.5000
Cr2 0.5000 0.0000 0.5000
Co1 0.5000 0.5000 0.5000
Tc1 0.5000 0.5000 0.0000

---

[8]
DFT (PBE-GGA) results for YCrCo2Tc after structural relaxation.

## Properties
ΔE_f, eV per formula unit: 6.06

Cell: 4.1982 4.1982 4.8735 Å, 90.00 90.00 90.00°
Sites, in units of the cell vectors:
Y1 0.0000 0.0000 0.0000
Cr1 0.0000 0.0000 0.5000
Co1 0.0000 0.5000 0.5000
Co2 0.5000 0.0000 0.5000
Tc1 0.5000 0.5000 0.0000

---

[9]
DFT (PBE-GGA) results for ZrCrCoTc2 after structural relaxation.

## Properties
ΔE_f, eV per formula unit: 3.08

Cell: 4.4410 4.4410 4.2152 Å, 90.00 90.00 90.00°
Sites, in units of the cell vectors:
Zr1 0.0000 0.0000 0.0000
Cr1 0.5000 0.5000 0.5000
Co1 0.5000 0.5000 0.0000
Tc1 0.0000 0.5000 0.5000
Tc2 0.5000 0.0000 0.5000

---

[10]
DFT (PBE-GGA) results for CrCo2Te after structural relaxation.

## Properties
Energy relative to the elements, uncorrected, meV per atom: 484.3

Cell: 3.0409 4.2273 4.7421 Å, 90.00 91.66 90.00°
Sites, in units of the cell vectors:
Cr1 0.0000 0.0000 0.0000
Co1 0.3314 0.5000 0.2118
Co2 0.6686 0.5000 0.7882
Te1 0.5000 0.0000 0.5000

---

[11]
DFT (PBE-GGA) results for CrCo2Te after structural relaxation.

## Properties
Energy relative to the elements, uncorrected, meV per atom: 426.1

Cell: 3.2876 3.2876 5.2341 Å, 90.00 90.00 90.00°
Sites, in units of the cell vectors:
Cr1 0.0000 0.0000 0.0000
Co1 0.0000 0.0000 0.5512
Co2 0.5000 0.5000 0.8078
Te1 0.5000 0.5000 0.3190

---

[12]
DFT (PBE-GGA) results for Cr2CoTe after structural relaxation.

## Properties
Energy relative to the elements, uncorrected, meV per atom: 922.4

Cell: 6.7900 6.7900 6.7900 Å, 133.29 133.29 68.19°
Sites, in units of the cell vectors:
Cr1 0.0518 0.6250 0.9268
Cr2 0.3750 0.3018 0.4268
Cr3 0.6982 0.1250 0.0732
Cr4 0.8750 0.9482 0.5732
Co1 0.0000 0.0000 0.0000
Co2 0.7500 0.2500 0.5000
Te1 0.2500 0.7500 0.5000
Te2 0.5000 0.5000 0.0000

---

[13]
DFT (PBE-GGA) results for CrCo2Te after structural relaxation.

## Properties
Energy relative to the elements, uncorrected, meV per atom: 357.1

Cell: 3.0272 3.3992 5.4290 Å, 90.00 90.00 90.00°
Sites, in units of the cell vectors:
Cr1 0.0000 0.0000 0.0000
Co1 0.5000 0.5000 0.2226
Co2 0.5000 0.5000 0.7774
Te1 0.0000 0.0000 0.5000

---

[14]
DFT (PBE-GGA) results for CrCo3Te after structural relaxation.

## Properties
Energy relative to the elements, uncorrected, meV per atom: 1056.1
Energy relative to the lowest polymorph listed for this composition, meV/atom: 0

Cell: 4.2601 4.2601 4.2601 Å, 90.00 90.00 90.00°
Sites, in units of the cell vectors:
Cr1 0.0000 0.0000 0.0000
Co1 0.0000 0.0000 0.5000
Co2 0.0000 0.5000 0.0000
Co3 0.5000 0.0000 0.0000
Te1 0.5000 0.5000 0.5000

---

[15]
DFT (PBE-GGA) results for CrCoTe after structural relaxation.

## Properties
Energy relative to the elements, uncorrected, meV per atom: 76.7
Energy relative to the lowest polymorph listed for this composition, meV/atom: 0

Cell: 4.1529 4.1529 4.1529 Å, 60.00 60.00 60.00°
Sites, in units of the cell vectors:
Cr1 0.0000 0.0000 0.0000
Co1 0.7500 0.7500 0.7500
Te1 0.5000 0.5000 0.5000

---

[16]
DFT (PBE-GGA) results for CrCo4Te after structural relaxation.

## Properties
Energy relative to the elements, uncorrected, meV per atom: 345.3

Cell: 4.8483 4.8483 4.8483 Å, 60.00 60.00 60.00°
Sites, in units of the cell vectors:
Cr1 0.0000 0.0000 0.0000
Co1 0.1229 0.6257 0.6257
Co2 0.6257 0.1229 0.6257
Co3 0.6257 0.6257 0.1229
Co4 0.6257 0.6257 0.6257
Te1 0.2500 0.2500 0.2500

---

[17]
DFT (PBE-GGA) results for CrCo2Te after structural relaxation.

## Properties
Energy relative to the elements, uncorrected, meV per atom: 293.7

Cell: 4.6262 4.6262 4.6262 Å, 132.22 132.22 69.88°
Sites, in units of the cell vectors:
Cr1 0.0000 0.0000 0.0000
Co1 0.5000 0.5000 0.0000
Co2 0.7500 0.2500 0.5000
Te1 0.2500 0.7500 0.5000

---

[18]
DFT (PBE-GGA) results for CrCo2Te after structural relaxation.

## Properties
Energy relative to the elements, uncorrected, meV per atom: 277.5

Cell: 4.5165 4.5165 4.5165 Å, 128.98 128.98 75.04°
Sites, in units of the cell vectors:
Cr1 0.0000 0.0000 0.0000
Co1 0.2500 0.7500 0.5000
Co2 0.7500 0.2500 0.5000
Te1 0.5000 0.5000 0.0000

---

[19]
DFT (PBE-GGA) results for CrCo2Te after structural relaxation.

## Properties
Energy relative to the elements, uncorrected, meV per atom: 221.6

Cell: 3.9297 3.9297 3.5246 Å, 90.00 90.00 90.00°
Sites, in units of the cell vectors:
Cr1 0.0000 0.0000 0.0000
Co1 0.0000 0.5000 0.5000
Co2 0.5000 0.0000 0.5000
Te1 0.5000 0.5000 0.0000

---

[20]
DFT (PBE-GGA) results for Cr2CoTe after structural relaxation.

## Properties
Energy relative to the elements, uncorrected, meV per atom: 277.7

Cell: 4.6243 4.6243 4.6243 Å, 130.14 130.14 73.19°
Sites, in units of the cell vectors:
Cr1 0.0000 0.0000 0.0000
Cr2 0.7500 0.2500 0.5000
Co1 0.5000 0.5000 0.0000
Te1 0.2500 0.7500 0.5000